(1)
The following is a DFT calculation (PBE) of crystalline Pm2Al4CdPt3 at its relaxed geometry.

The structure in extended XYZ format:
```
10
Lattice="4.2974 0.0000 0.0000 0.0000 4.2974 0.0000 0.0000 0.0000 10.7213" Properties=species:S:1:pos:R:3 pbc="T T T"
Pt 0.0000 0.0000 5.3606
Pt 0.0000 2.1487 1.3740
Pt 2.1487 0.0000 9.3473
Al 0.0000 0.0000 0.0000
Al 0.0000 2.1487 3.8341
Al 2.1487 0.0000 6.8872
Al 2.1487 2.1487 0.0000
Cd 2.1487 2.1487 5.3606
Pm 0.0000 2.1487 8.1549
Pm 2.1487 0.0000 2.5663
```

Values from the calculation:
As for the formation energy: -0.93 eV per atom.

(2)
The following is a DFT calculation (PBE) of crystalline Y2SnAsBr at its relaxed geometry.

The structure in extended XYZ format:
```
5
Lattice="5.7998 0.0000 0.0000 0.0000 5.1706 0.0000 0.0000 0.0000 5.7998" Properties=species:S:1:pos:R:3 pbc="T T T"
Y 0.0000 0.0000 2.8999
Y 2.8999 0.0000 0.0000
Br 2.8999 2.5853 2.8999
Sn 0.0000 0.0000 0.0000
As 0.0000 2.5853 0.0000
```

Values from the calculation:
The calculation puts the uncorrected formation energy at 0.0174 eV/atom.

(3)
The following is a DFT calculation (PBE) of crystalline Mg2Ge2Rh at its relaxed geometry.

The structure in extended XYZ format:
```
10
Lattice="6.2117 0.0000 0.0000 -3.1058 4.5547 -0.0867 0.0000 -2.2155 6.3820" Properties=species:S:1:pos:R:3 pbc="T T T"
Mg -0.5188 2.1879 2.2988
Mg 2.5870 1.2590 0.8055
Mg 0.5188 1.0802 5.4897
Mg 3.6246 0.1513 3.9965
Ge -2.1316 3.5660 0.2406
Ge 2.1316 2.4583 3.4315
Ge 5.2375 -1.2268 6.0547
Ge 0.9742 -0.1191 2.8637
Rh 1.2802 -1.6616 4.7865
Rh 4.9315 -0.5539 1.5955
```

Values from the calculation:
As for the formation energy: -0.33 eV per atom.

What did we get for DOS at the Fermi energy? Answer: 6.77, 3.26, 4.40 states/eV per cell, in the order shown.